Here is a crystal of ZrCrNi2B relaxed with PBEsol from the Alexandria database. Energies are from meta-GGA SCAN.

Summary:
**SG**: P4/mmm
**Energy of formation from the pure elements**: 0.098 eV/atom

abc: 3.7742 3.7742 4.5031
angles: 90.00 90.00 90.00
Last column: magnetic moment on the atom in μB.
Fractional coordinates of all 5 atoms:
Ni 0.0000 0.5000 0.0000  -0.40
Ni 0.5000 0.0000 0.0000  -0.40
B 0.0000 0.0000 0.0000  -0.05
Zr 0.0000 0.0000 0.5000  -0.34
Cr 0.5000 0.5000 0.5000  3.22